{
  "formula": "Nd2Ho3Ag3",
  "functional": "GGA-PBE",
  "state": "relaxed",
  "total_magnetization_mub_per_atom": 0.000,
  "formation_enthalpy_0k_ev_per_atom": -0.192,
  "vol_a3_per_atom": 26.60,
  "lattice": [[3.671, 0.000, -0.591], [-0.198, 5.115, -1.230], [-0.057, 0.016, 11.340]],
  "species": ["Ag", "Ag", "Ho", "Ho", "Nd", "Ag", "Ho", "Nd"],
  "frac_coords": [[0.112, 0.112, 0.224], [0.000, 0.500, 0.000], [0.500, 0.000, 0.000], [0.617, 0.617, 0.235], [0.269, 0.769, 0.539], [0.888, 0.888, 0.776], [0.383, 0.383, 0.765], [0.731, 0.231, 0.461]]
}